Computed, not measured: NaCe2ThAs4 after structural relaxation at the GGA-PBE level of DFT.

Summary:
Formation energy from the elements = -1141.7 meV per atom
Calculated total energy = -48.338 eV/cell
Crystal system = monoclinic
Calculated volume = 27.1 Å³ per atom

Cell lengths 4.264, 7.326, 7.342 Å; angles 109.05, 90.00, 90.00 degrees
Positions (direct):
Na 0.500 0.500 0.000
Ce 0.500 0.000 0.500
Ce 0.000 0.500 0.500
Th 0.000 0.000 0.000
As 0.500 0.246 0.254
As 0.500 0.754 0.746
As 0.000 0.234 0.734
As 0.000 0.766 0.266


Computed, not measured: NaCeTh2As4 after structural relaxation at the GGA-PBE level of DFT.

Summary:
Formation energy from the elements = -1159.2 meV per atom
Calculated total energy = -49.964 eV/cell
Crystal system = monoclinic
Calculated volume = 27.5 Å³ per atom

Cell lengths 4.287, 7.376, 7.363 Å; angles 109.11, 90.00, 90.00 degrees
Positions (direct):
Na 0.500 0.500 0.000
Ce 0.000 0.000 0.000
Th 0.500 0.000 0.500
Th 0.000 0.500 0.500
As 0.500 0.248 0.252
As 0.500 0.752 0.748
As 0.000 0.240 0.740
As 0.000 0.760 0.260


Computed, not measured: NaCe2UAs4 after structural relaxation at the GGA-PBE level of DFT.

Summary:
Formation energy from the elements = -940.8 meV per atom
Calculated total energy = -50.599 eV/cell
Crystal system = monoclinic
Calculated volume = 25.9 Å³ per atom

Cell lengths 4.196, 7.267, 7.195 Å; angles 109.03, 90.00, 90.00 degrees
Positions (direct):
Na 0.500 0.500 0.000
Ce 0.500 0.000 0.500
Ce 0.000 0.500 0.500
U 0.000 0.000 0.000
As 0.500 0.239 0.244
As 0.500 0.761 0.756
As 0.000 0.232 0.745
As 0.000 0.768 0.255


Computed, not measured: Ce2NbNi3As4 after structural relaxation at the GGA-PBE level of DFT.

Summary:
Formation energy from the elements = -753.0 meV per atom
Calculated total energy = -65.409 eV/cell
Crystal system = tetragonal
Calculated volume = 17.8 Å³ per atom

Cell lengths 4.224, 4.224, 9.954 Å; angles 90.00, 90.00, 90.00 degrees
Positions (direct):
Ce 0.500 0.000 0.231
Ce 0.000 0.500 0.769
Nb 0.500 0.500 0.500
Ni 0.000 0.000 0.500
Ni 0.500 0.000 0.888
Ni 0.000 0.500 0.112
As 0.500 0.500 0.000
As 0.000 0.000 0.000
As 0.500 0.000 0.649
As 0.000 0.500 0.351


Computed, not measured: CeNbAs2O after structural relaxation at the GGA-PBE level of DFT.

Summary:
Formation energy from raw total energies = -1.4870 eV/atom
Calculated total energy = -75.392 eV/cell
Crystal system = tetragonal
Calculated volume = 18.5 Å³ per atom

Cell lengths 3.734, 3.734, 13.284 Å; angles 90.00, 90.00, 90.00 degrees
Positions (direct):
Ce 0.500 0.000 0.601
Ce 0.000 0.500 0.399
Nb 0.500 0.000 0.078
Nb 0.000 0.500 0.922
As 0.000 0.500 0.720
As 0.000 0.500 0.125
As 0.500 0.000 0.875
As 0.500 0.000 0.280
O 0.000 0.000 0.500
O 0.500 0.500 0.500


Computed, not measured: CeNbAsO after structural relaxation at the GGA-PBE level of DFT.

Summary:
Formation energy from raw total energies = -1.9301 eV/atom
Calculated total energy = -66.663 eV/cell
Crystal system = tetragonal
Calculated volume = 18.3 Å³ per atom

Cell lengths 3.992, 3.992, 9.191 Å; angles 90.00, 90.00, 90.00 degrees
Positions (direct):
Ce 0.500 0.000 0.634
Ce 0.000 0.500 0.366
Nb 0.500 0.500 0.000
Nb 0.000 0.000 0.000
As 0.000 0.500 0.803
As 0.500 0.000 0.197
O 0.000 0.000 0.500
O 0.500 0.500 0.500


Computed, not measured: Ce2NbAs4Pd3 after structural relaxation at the GGA-PBE level of DFT.

Summary:
Formation energy from the elements = -782.4 meV per atom
Calculated total energy = -63.938 eV/cell
Crystal system = tetragonal
Calculated volume = 19.9 Å³ per atom

Cell lengths 4.416, 4.416, 10.226 Å; angles 90.00, 90.00, 90.00 degrees
Positions (direct):
Ce 0.500 0.000 0.231
Ce 0.000 0.500 0.769
Nb 0.500 0.500 0.500
As 0.500 0.500 0.000
As 0.000 0.000 0.000
As 0.500 0.000 0.635
As 0.000 0.500 0.365
Pd 0.000 0.000 0.500
Pd 0.500 0.000 0.877
Pd 0.000 0.500 0.123


Computed, not measured: Ce2NbAs4Pt3 after structural relaxation at the GGA-PBE level of DFT.

Summary:
Formation energy from the elements = -814.3 meV per atom
Calculated total energy = -66.801 eV/cell
Crystal system = tetragonal
Calculated volume = 20.0 Å³ per atom

Cell lengths 4.420, 4.420, 10.228 Å; angles 90.00, 90.00, 90.00 degrees
Positions (direct):
Ce 0.500 0.000 0.237
Ce 0.000 0.500 0.763
Nb 0.500 0.500 0.500
As 0.500 0.500 0.000
As 0.000 0.000 0.000
As 0.500 0.000 0.635
As 0.000 0.500 0.365
Pt 0.000 0.000 0.500
Pt 0.500 0.000 0.878
Pt 0.000 0.500 0.122